No. 1
First-principles (PBE) data for crystalline TaNbSbI2 at its relaxed geometry, as listed in Alexandria via LeMat-Bulk.

a = 5.4276 Å, b = 5.4276 Å, c = 5.5088 Å
α = 90.00°, β = 90.00°, γ = 90.00°
Last column: magnetic moment on the atom in μB.
Positions (direct):
I  0.0000  0.5000  0.0000  -0.04
I  0.5000  0.0000  0.0000  -0.04
Sb  0.0000  0.0000  0.5000  -0.13
Nb  0.5000  0.5000  0.5000  2.94
Ta  0.0000  0.0000  0.0000  0.52

Output
The calculation puts the uncorrected formation energy at 5.9 eV/f.u. Its total energy is -4.66 eV per atom. As for the space-group type: P4/mmm (123).

No. 2
First-principles (PBE) data for crystalline NbSbTe2I at its relaxed geometry, as listed in Alexandria via LeMat-Bulk.

a = 5.7826 Å, b = 5.7826 Å, c = 5.6910 Å
α = 90.00°, β = 90.00°, γ = 90.00°
Last column: magnetic moment on the atom in μB.
Positions (direct):
I  0.0000  0.0000  0.5000  -0.01
Sb  0.0000  0.0000  0.0000  0.04
Nb  0.5000  0.5000  0.5000  2.84
Te  0.0000  0.5000  0.0000  -0.18
Te  0.5000  0.0000  0.0000  -0.18

Output
The calculation puts the uncorrected formation energy at 5.2 eV/f.u. Its total energy is -3.36 eV per atom. As for the space-group type: P4/mmm (123).

No. 3
First-principles (PBE) data for crystalline NbSbTe2I at its relaxed geometry, as listed in Alexandria via LeMat-Bulk.

a = 5.3450 Å, b = 5.3450 Å, c = 5.6187 Å
α = 90.00°, β = 90.00°, γ = 90.00°
Positions (direct):
I  0.5000  0.5000  0.5000
Sb  0.0000  0.0000  0.5000
Nb  0.0000  0.0000  0.0000
Te  0.0000  0.5000  0.0000
Te  0.5000  0.0000  0.0000

Output
The calculation puts the uncorrected formation energy at 0.6 eV/f.u. Its total energy is -4.29 eV per atom. As for the space-group type: P4/mmm (123).

No. 4
First-principles (PBE) data for crystalline NbSbTe2I at its relaxed geometry, as listed in Alexandria via LeMat-Bulk.

a = 5.4632 Å, b = 5.4632 Å, c = 5.5158 Å
α = 90.00°, β = 90.00°, γ = 90.00°
Last column: magnetic moment on the atom in μB.
Positions (direct):
I  0.0000  0.0000  0.5000  0.02
Sb  0.5000  0.5000  0.5000  0.48
Nb  0.0000  0.0000  0.0000  0.77
Te  0.0000  0.5000  0.0000  -0.07
Te  0.5000  0.0000  0.0000  -0.07

Output
The calculation puts the uncorrected formation energy at 1.7 eV/f.u. Its total energy is -4.06 eV per atom. As for the space-group type: P4/mmm (123).

No. 5
First-principles (PBE) data for crystalline NbSbTe2I at its relaxed geometry, as listed in Alexandria via LeMat-Bulk.

a = 5.7120 Å, b = 5.7120 Å, c = 5.7036 Å
α = 90.00°, β = 90.00°, γ = 90.00°
Last column: magnetic moment on the atom in μB.
Positions (direct):
I  0.0000  0.0000  0.0000  0.00
Sb  0.0000  0.0000  0.5000  -0.20
Nb  0.5000  0.5000  0.5000  2.70
Te  0.0000  0.5000  0.0000  -0.16
Te  0.5000  0.0000  0.0000  -0.16

Output
The calculation puts the uncorrected formation energy at 7.5 eV/f.u. Its total energy is -2.91 eV per atom. As for the space-group type: P4/mmm (123).

No. 6
First-principles (PBE) data for crystalline NbTlSbI2 at its relaxed geometry, as listed in Alexandria via LeMat-Bulk.

a = 5.8011 Å, b = 5.8011 Å, c = 5.4010 Å
α = 90.00°, β = 90.00°, γ = 90.00°
Last column: magnetic moment on the atom in μB.
Positions (direct):
I  0.0000  0.5000  0.0000  0.00
I  0.5000  0.0000  0.0000  0.00
Sb  0.0000  0.0000  0.5000  -0.11
Tl  0.5000  0.5000  0.5000  0.00
Nb  0.0000  0.0000  0.0000  0.93

Output
The calculation puts the uncorrected formation energy at 0.3 eV/f.u. Its total energy is -3.87 eV per atom. As for the space-group type: P4/mmm (123).

No. 7
First-principles (PBE) data for crystalline NbSb2WI at its relaxed geometry, as listed in Alexandria via LeMat-Bulk.

a = 5.1887 Å, b = 5.1887 Å, c = 5.6627 Å
α = 90.00°, β = 90.00°, γ = 90.00°
Last column: magnetic moment on the atom in μB.
Positions (direct):
I  0.0000  0.0000  0.5000  -0.06
Sb  0.0000  0.5000  0.0000  -0.10
Sb  0.5000  0.0000  0.0000  -0.10
Nb  0.5000  0.5000  0.5000  2.84
W  0.0000  0.0000  0.0000  0.97

Output
The calculation puts the uncorrected formation energy at 6.6 eV/f.u. Its total energy is -5.24 eV per atom. As for the space-group type: P4/mmm (123).

No. 8
First-principles (PBE) data for crystalline NbSbWI2 at its relaxed geometry, as listed in Alexandria via LeMat-Bulk.

a = 5.4277 Å, b = 5.4277 Å, c = 5.6057 Å
α = 90.00°, β = 90.00°, γ = 90.00°
Last column: magnetic moment on the atom in μB.
Positions (direct):
I  0.0000  0.5000  0.0000  -0.01
I  0.5000  0.0000  0.0000  -0.01
Sb  0.0000  0.0000  0.5000  -0.17
Nb  0.0000  0.0000  0.0000  0.70
W  0.5000  0.5000  0.5000  3.48

Output
The calculation puts the uncorrected formation energy at 7.4 eV/f.u. Its total energy is -4.58 eV per atom. As for the space-group type: P4/mmm (123).